The following is a PBE calculation of ScMo2Os after structural relaxation, from Alexandria.

**DOS(E_F)**: 0.8041 states/eV/atom
**Energy above the most stable polymorph in this dataset**: 0.277 eV per atom
**Uncorrected energy**: -38.57 eV/f.u.
**Formation energy from the elements**: 0.163 eV per atom

The structure in CIF format:
```
data_ScMo2Os
_chemical_formula_sum 'Sc1 Mo2 Os1'
_space_group_name_H-M_alt 'P 4/m m m'
_space_group_IT_number 123
_space_group_name_Hall '-P 4 2'
_cell_length_a 2.860
_cell_length_b 2.860
_cell_length_c 8.237
_cell_angle_alpha 90.00
_cell_angle_beta 90.00
_cell_angle_gamma 90.00
loop_
_atom_site_label
_atom_site_fract_x
_atom_site_fract_y
_atom_site_fract_z
Sc1 0.000 0.000 0.000
Mo1 0.500 0.500 0.278
Os1 0.000 0.000 0.500
```